A) Computed, not measured: crystalline La5Dy4Tm at its relaxed geometry at the PBE-GGA level of DFT.

The structure in extended XYZ format:
```
10
Lattice="3.539 0.063 -0.367 -0.484 11.128 -2.446 0.960 -1.218 8.901" Properties=species:S:1:pos:R:3 pbc="T T T"
La 3.597 6.191 1.551
La 3.338 8.984 -0.505
La 0.676 0.990 6.594
La 1.527 5.596 -1.406
La 0.417 3.783 4.537
Dy 2.117 0.839 3.211
Dy 0.070 2.842 1.132
Dy 1.898 9.134 2.878
Dy 3.945 7.132 4.957
Tm 1.769 0.032 -0.183
```

Total moment in μB per atom: 0.000
V in A^3/atom: 34.38



B) Computed, not measured: crystalline La5Dy4Tm at its relaxed geometry at the PBE-GGA level of DFT.

The structure in extended XYZ format:
```
10
Lattice="3.695 0.000 0.000 0.000 3.695 0.000 0.000 0.000 25.017" Properties=species:S:1:pos:R:3 pbc="T T T"
La 1.847 1.847 2.468
La 1.847 1.847 7.488
La 1.847 1.847 12.509
La 1.847 1.847 17.529
La 1.847 1.847 22.549
Dy 0.000 0.000 4.974
Dy 0.000 0.000 9.999
Dy 0.000 0.000 15.018
Dy 0.000 0.000 20.043
Tm 0.000 0.000 0.000
```

Total moment in μB per atom: 0.000
V in A^3/atom: 34.15



It is B) that is the most stable of them.



A) Computed, not measured: crystalline LaDy7Tm3 at its relaxed geometry at the PBE-GGA level of DFT.

The structure in extended XYZ format:
```
11
Lattice="-5.480 -0.557 0.639 -1.141 0.035 -9.753 6.392 -5.971 1.494" Properties=species:S:1:pos:R:3 pbc="T T T"
La -0.115 -3.246 -3.810
Dy -0.105 -6.034 -6.140
Dy -3.226 -2.561 -5.857
Dy -2.991 -1.378 -2.795
Dy 2.762 -5.114 -4.824
Dy 0.456 -3.264 1.067
Dy 2.997 -3.932 -1.762
Dy -0.125 -0.459 -1.479
Tm 2.311 -4.745 -8.369
Tm -0.571 0.018 -4.876
Tm -2.540 -1.747 0.749
```

Total moment in μB per atom: 0.000
V in A^3/atom: 32.44



B) Computed, not measured: crystalline LaDy7Tm3 at its relaxed geometry at the PBE-GGA level of DFT.

The structure in extended XYZ format:
```
11
Lattice="-4.013 1.015 7.513 -3.653 -5.918 -1.152 6.198 -0.279 3.349" Properties=species:S:1:pos:R:3 pbc="T T T"
La 1.125 -1.706 5.197
Dy 4.084 -1.110 3.452
Dy 1.009 -0.971 1.790
Dy -0.843 -3.919 1.234
Dy -3.805 -4.513 2.988
Dy -1.994 -1.579 3.559
Dy -0.732 -4.652 4.648
Dy 2.272 -4.046 2.880
Tm -1.892 -2.307 6.996
Tm -4.970 -2.169 5.333
Tm -3.707 -5.247 6.424
```

Total moment in μB per atom: 0.000
V in A^3/atom: 33.56



It is A) that is the most stable of them.